# Tb3InHg5

A geometry-optimized Tb3InHg5 structure (GGA-PBE, Alexandria via LeMat-Bulk).

The raw total energy is -2.448 eV per atom. The calculation puts the formation enthalpy at 0 K at -3.89 eV/f.u.

The space group is P6_3/mcm (No. 193) and the conventional cell measures 8.9822, 8.9822 and 6.3894 Å, with angles of 90.00, 90.00 and 120.00 degrees. The distinct sites, in fractional coordinates, are Tb at (0.0000, 0.3388, 0.2500), In at (0.0000, 0.0000, 0.0000), Hg at (0.0000, 0.3289, 0.7500) and Hg at (0.3333, 0.6667, 0.0000).